Record 1
VASP calculation (PBE-GGA) on a relaxed structure of MnFe2P.

Geometry as extended XYZ:
```
4
Lattice="2.6921 0.0000 0.0000 0.0000 2.6921 0.0000 0.0000 0.0000 5.9667" Properties=species:S:1:pos:R:3 pbc="T T T"
Mn 0.0000 0.0000 0.0000
Fe 0.0000 0.0000 2.6062
Fe 1.3461 1.3461 4.3254
P 1.3461 1.3461 1.3674
```

Computed properties:
- V (Å³/atom) = 10.8
- SG = P4mm, No. 99
- total energy (eV per atom) = -7.999

---

Record 2
VASP calculation (PBE-GGA) on a relaxed structure of MnFe2P.

Geometry as extended XYZ:
```
4
Lattice="3.5417 0.0000 0.0000 0.0000 1.2963 4.7183 0.0000 -1.2963 4.7183" Properties=species:S:1:pos:R:3 pbc="T T T"
Mn 0.0000 0.0000 0.0000
Fe 1.7708 0.0000 3.2811
Fe 1.7708 0.0000 5.7835
P 0.0000 0.0000 7.1259
```

Computed properties:
- V (Å³/atom) = 10.8
- SG = Amm2, No. 38
- total energy (eV per atom) = -8.037

---

Record 3
VASP calculation (PBE-GGA) on a relaxed structure of MnFeP3.

Geometry as extended XYZ:
```
5
Lattice="4.3086 0.0000 0.0000 0.0000 4.3086 0.0000 0.0000 0.0000 4.3086" Properties=species:S:1:pos:R:3 pbc="T T T"
Mn 0.0000 0.0000 0.0000
Fe 2.1543 2.1543 2.1543
P 0.0000 0.0000 2.1543
P 0.0000 2.1543 0.0000
P 2.1543 0.0000 0.0000
```

Computed properties:
- V (Å³/atom) = 16.0
- SG = Pm-3m, No. 221
- total energy (eV per atom) = -5.827